Y2Hg: relaxed, GGA-PBE.

Cell and atoms, written as CIF:
```
data_Y2Hg
_cell_length_a 7.9582
_cell_length_b 7.9582
_cell_length_c 4.7107
_cell_angle_alpha 90.00
_cell_angle_beta 90.00
_cell_angle_gamma 120.00
_symmetry_space_group_name_H-M 'P -6 2 m'
_symmetry_Int_Tables_number 189
_symmetry_space_group_name_Hall 'P -6 -2'
loop_
_atom_site_label
_atom_site_type_symbol
_atom_site_fract_x
_atom_site_fract_y
_atom_site_fract_z
Y1 Y 0.0000 0.2628 0.0000
Y2 Y 0.0000 0.5974 0.5000
Hg1 Hg 0.0000 0.0000 0.5000
Hg2 Hg 0.3333 0.6667 0.0000
```

Its total energy is -4.717 eV per atom. For the energy of formation, the calculation gives -0.3073 eV/atom.

***

YHg6: relaxed, GGA-PBE.

Cell and atoms, written as CIF:
```
data_YHg6
_cell_length_a 7.919
_cell_length_b 7.919
_cell_length_c 7.919
_cell_angle_alpha 90.00
_cell_angle_beta 90.00
_cell_angle_gamma 90.00
_symmetry_space_group_name_H-M 'I m -3 m'
_symmetry_Int_Tables_number 229
_symmetry_space_group_name_Hall '-I 4 2 3'
loop_
_atom_site_label
_atom_site_type_symbol
_atom_site_fract_x
_atom_site_fract_y
_atom_site_fract_z
Y1 Y 0.000 0.000 0.000
Hg1 Hg 0.000 0.250 0.500
```

Its total energy is -0.733 eV per atom. For the energy of formation, the calculation gives 0.4496 eV/atom.

***

YHg2: relaxed, GGA-PBE.

Cell and atoms, written as CIF:
```
data_YHg2
_cell_length_a 6.390
_cell_length_b 5.121
_cell_length_c 9.038
_cell_angle_alpha 90.00
_cell_angle_beta 90.00
_cell_angle_gamma 90.00
_symmetry_space_group_name_H-M 'P n m a'
_symmetry_Int_Tables_number 62
loop_
_symmetry_equiv_pos_as_xyz
'x,y,z'
'-x,-y,-z'
'-x+1/2,-y,z+1/2'
'x+1/2,y,-z+1/2'
'x+1/2,-y+1/2,-z+1/2'
'-x+1/2,y+1/2,z+1/2'
'-x,y+1/2,-z'
'x,-y+1/2,z'
loop_
_atom_site_label
_atom_site_type_symbol
_atom_site_fract_x
_atom_site_fract_y
_atom_site_fract_z
Y1 Y 0.204 0.250 0.086
Hg1 Hg 0.015 0.250 0.749
Hg2 Hg 0.201 0.250 0.419
```

Its total energy is -2.783 eV per atom. For the energy of formation, the calculation gives -0.4273 eV/atom.